Density functional theory data (GGA-PBE) for a relaxed structure of Rb2SiSbS4.

a = 6.793 Å, b = 6.793 Å, c = 6.793 Å
α = 107.54°, β = 110.44°, γ = 110.44°
Atoms (fractional coordinates):
S 0.954 0.490 0.166
S 0.324 0.834 0.788
S 0.046 0.212 0.536
S 0.676 0.464 0.510
Rb 0.000 0.000 0.000
Rb 0.500 0.750 0.250
Si 0.000 0.500 0.500
Sb 0.500 0.250 0.750

Output
**M_tot**: 0.126 μB per atom
**Formation energy without anion corrections**: -0.74 eV per atom
**Theoretical density**: 3.093 Mg/m³